! PBE-GGA Mn2ZnCo, relaxed; values from VASP
&SYSTEM
  ibrav = 0, nat = 4, ntyp = 3
/
ATOMIC_SPECIES
Mn 54.94 Mn.upf
Zn 65.41 Zn.upf
Co 58.93 Co.upf
CELL_PARAMETERS angstrom
-4.149 -0.915 1.697
-2.038 -3.793 -1.544
4.103 1.086 1.707
ATOMIC_POSITIONS angstrom
Mn -3.093 -2.354 0.076
Mn 0.000 0.000 0.000
Zn -0.515 -2.531 0.120
Co -1.570 -1.092 1.740
! ΔH_f (0 K) ... 0.183 eV per atom


! PBE-GGA Th2BBr, relaxed; values from VASP
&SYSTEM
  ibrav = 0, nat = 4, ntyp = 3
/
ATOMIC_SPECIES
Br 79.90 Br.upf
Th 232.04 Th.upf
B 10.81 B.upf
CELL_PARAMETERS angstrom
3.909 0.000 0.000
1.954 3.385 0.000
1.954 1.128 7.714
ATOMIC_POSITIONS angstrom
Br 3.909 2.257 3.857
Th 5.863 3.385 6.309
Th 1.954 1.128 1.405
B 0.000 0.000 0.000
! Formation energy (no corrections) ... -0.708 eV per atom


! PBE-GGA NpTcNiAs2, relaxed; values from VASP
&SYSTEM
  ibrav = 0, nat = 5, ntyp = 4
/
ATOMIC_SPECIES
As 74.92 As.upf
Tc 98.00 Tc.upf
Np 237.00 Np.upf
Ni 58.69 Ni.upf
CELL_PARAMETERS angstrom
3.935 0.000 0.000
0.000 3.935 0.000
-1.967 -1.967 5.639
ATOMIC_POSITIONS angstrom
As 0.000 0.000 4.230
As 1.967 1.967 1.409
Tc 1.967 0.000 2.820
Np 0.000 0.000 0.000
Ni 0.000 1.967 2.820
! ΔH_f (0 K) ... -0.336 eV per atom


! PBE-GGA RbTbPaSe4, relaxed; values from VASP
&SYSTEM
  ibrav = 0, nat = 14, ntyp = 4
/
ATOMIC_SPECIES
Se 78.96 Se.upf
Tb 158.93 Tb.upf
Rb 85.47 Rb.upf
Pa 231.04 Pa.upf
CELL_PARAMETERS angstrom
8.998 0.000 0.000
-4.499 7.600 -0.602
0.000 -4.637 7.626
ATOMIC_POSITIONS angstrom
Se 1.864 3.911 4.990
Se 0.000 2.592 2.043
Se 4.499 0.371 4.981
Se 2.635 -0.948 2.035
Se -1.864 3.911 4.990
Se 0.000 0.688 5.174
Se 4.499 2.275 1.850
Se 6.363 -0.948 2.035
Tb 4.499 0.000 0.000
Tb 4.499 -2.319 3.813
Rb 4.499 5.162 0.528
Rb 0.000 -2.200 6.497
Pa -2.249 1.481 3.512
Pa 2.249 1.481 3.512
! Formation energy (no corrections) ... -1.494 eV per atom


! PBE-GGA MoP2Br, relaxed; values from VASP
&SYSTEM
  ibrav = 0, nat = 4, ntyp = 3
/
ATOMIC_SPECIES
Br 79.90 Br.upf
P 30.97 P.upf
Mo 95.94 Mo.upf
CELL_PARAMETERS angstrom
-1.767 -2.602 0.331
0.907 -0.232 3.021
-6.069 4.396 2.159
ATOMIC_POSITIONS angstrom
Br -3.528 2.555 1.255
P -1.191 -0.866 1.947
P -5.937 4.301 2.112
Mo -5.378 2.167 3.436
! Polymorph energy (0 for the lowest one) ... 181.4 meV/atom
! Formation energy (no corrections) ... 0.067 eV per atom


! PBE-GGA GdLuAlCu, relaxed; values from VASP
&SYSTEM
  ibrav = 0, nat = 4, ntyp = 4
/
ATOMIC_SPECIES
Cu 63.55 Cu.upf
Al 26.98 Al.upf
Lu 174.97 Lu.upf
Gd 157.25 Gd.upf
CELL_PARAMETERS angstrom
-0.601 -4.954 0.462
3.177 -3.134 -2.282
3.257 -2.678 2.709
ATOMIC_POSITIONS angstrom
Cu 1.458 -2.691 0.222
Al 4.375 -8.074 0.667
Lu 2.916 -5.383 0.445
Gd 0.000 0.000 0.000
! ΔH_f (0 K) ... -0.290 eV per atom


! PBE-GGA SmHf2Mn, relaxed; values from VASP
&SYSTEM
  ibrav = 0, nat = 4, ntyp = 3
/
ATOMIC_SPECIES
Hf 178.49 Hf.upf
Mn 54.94 Mn.upf
Sm 150.36 Sm.upf
CELL_PARAMETERS angstrom
-0.609 -3.156 -0.196
1.699 -0.159 -2.730
6.881 -1.599 4.375
ATOMIC_POSITIONS angstrom
Hf 1.236 -0.287 0.786
Hf 5.645 -1.312 3.589
Mn 0.545 -1.657 -1.463
Sm 3.986 -2.456 0.724
! ΔH_f (0 K) ... 0.044 eV per atom


! PBE-GGA LiHoErMo, relaxed; values from VASP
&SYSTEM
  ibrav = 0, nat = 4, ntyp = 4
/
ATOMIC_SPECIES
Mo 95.94 Mo.upf
Ho 164.93 Ho.upf
Er 167.26 Er.upf
Li 6.94 Li.upf
CELL_PARAMETERS angstrom
-1.304 -1.745 4.471
0.043 -4.897 0.867
3.443 -1.963 3.004
ATOMIC_POSITIONS angstrom
Mo 0.546 -2.151 2.086
Ho 0.000 0.000 0.000
Er 1.091 -4.303 4.171
Li 1.637 -6.454 6.257
! ΔH_f (0 K) ... 0.249 eV per atom


! PBE-GGA Co2CuNi, relaxed; values from VASP
&SYSTEM
  ibrav = 0, nat = 4, ntyp = 3
/
ATOMIC_SPECIES
Co 58.93 Co.upf
Ni 58.69 Ni.upf
Cu 63.55 Cu.upf
CELL_PARAMETERS angstrom
4.169 0.000 0.000
0.000 4.169 0.000
0.000 0.000 2.596
ATOMIC_POSITIONS angstrom
Co 2.085 2.085 0.000
Co 0.000 0.000 0.000
Ni 0.000 2.085 1.298
Cu 2.085 0.000 1.298
! ΔH_f (0 K) ... 0.203 eV per atom
! Polymorph energy (0 for the lowest one) ... 182.6 meV/atom


! PBE-GGA RbHo2CuSe4, relaxed; values from VASP
&SYSTEM
  ibrav = 0, nat = 16, ntyp = 4
/
ATOMIC_SPECIES
Ho 164.93 Ho.upf
Se 78.96 Se.upf
Cu 63.55 Cu.upf
Rb 85.47 Rb.upf
CELL_PARAMETERS angstrom
4.127 0.000 0.000
-2.063 7.150 0.000
0.000 0.000 14.396
ATOMIC_POSITIONS angstrom
Ho 2.063 1.913 0.921
Ho 0.000 5.237 8.119
Ho 0.000 5.237 13.476
Ho 2.063 1.913 6.278
Se 2.063 3.414 12.833
Se 0.000 6.152 10.797
Se 2.063 0.998 3.599
Se 0.000 0.000 0.000
Se 0.000 0.000 7.198
Se 0.000 3.736 1.563
Se 0.000 3.736 5.635
Se 2.063 3.414 8.761
Cu 0.000 2.328 3.599
Cu 2.063 4.823 10.797
Rb 0.000 1.590 10.797
Rb 2.063 5.560 3.599
! Formation energy (no corrections) ... -1.498 eV per atom


! PBE-GGA Ac2SmY3Bi6, relaxed; values from VASP
&SYSTEM
  ibrav = 0, nat = 12, ntyp = 4
/
ATOMIC_SPECIES
Y 88.91 Y.upf
Bi 208.98 Bi.upf
Ac 227.00 Ac.upf
Sm 150.36 Sm.upf
CELL_PARAMETERS angstrom
8.031 0.000 -0.001
-4.014 6.956 -0.001
-1.341 -2.322 7.550
ATOMIC_POSITIONS angstrom
Y 5.309 0.024 3.774
Y -2.633 4.610 3.774
Y 1.338 2.317 3.774
Bi 2.720 4.710 2.027
Bi -1.302 2.248 2.005
Bi 2.598 -0.004 2.005
Bi -0.044 -0.077 5.521
Bi 0.079 4.638 5.544
Bi 3.978 2.386 5.544
Ac 4.002 2.326 -0.001
Ac 0.015 4.629 -0.001
Sm 0.000 0.000 0.000
! ΔH_f (0 K) ... -0.918 eV per atom


! PBE-GGA TlVAs2, relaxed; values from VASP
&SYSTEM
  ibrav = 0, nat = 4, ntyp = 3
/
ATOMIC_SPECIES
As 74.92 As.upf
Tl 204.38 Tl.upf
V 50.94 V.upf
CELL_PARAMETERS angstrom
-1.856 1.955 -1.773
-2.635 -1.242 1.388
0.382 5.424 5.581
ATOMIC_POSITIONS angstrom
As 0.316 4.484 4.614
As 0.066 0.940 0.967
Tl -2.054 3.068 2.598
V -2.245 0.356 -0.193
! ΔH_f (0 K) ... -0.088 eV per atom
! Polymorph energy (0 for the lowest one) ... 0.0 meV/atom


! PBE-GGA La2Tb7Sc2, relaxed; values from VASP
&SYSTEM
  ibrav = 0, nat = 11, ntyp = 3
/
ATOMIC_SPECIES
Sc 44.96 Sc.upf
Tb 158.93 Tb.upf
La 138.91 La.upf
CELL_PARAMETERS angstrom
-2.156 2.025 -1.955
-9.375 -3.961 3.023
-4.707 5.552 7.728
ATOMIC_POSITIONS angstrom
Sc -7.287 3.504 5.237
Sc -8.309 -1.787 4.098
Tb -7.252 1.021 2.625
Tb -5.882 6.368 6.653
Tb -9.806 0.928 5.346
Tb -11.344 3.170 9.365
Tb -3.417 3.458 0.920
Tb -10.407 4.214 6.198
Tb -4.396 2.330 4.046
La -13.133 1.796 6.699
La -3.988 0.025 1.209
! ΔH_f (0 K) ... 0.186 eV per atom
! Polymorph energy (0 for the lowest one) ... 116.0 meV/atom


! PBE-GGA HfTl2InBr8, relaxed; values from VASP
&SYSTEM
  ibrav = 0, nat = 12, ntyp = 4
/
ATOMIC_SPECIES
Br 79.90 Br.upf
In 114.82 In.upf
Tl 204.38 Tl.upf
Hf 178.49 Hf.upf
CELL_PARAMETERS angstrom
7.620 -0.108 -0.006
-0.099 6.948 -0.006
0.002 0.013 8.612
ATOMIC_POSITIONS angstrom
Br 0.846 5.375 1.902
Br 0.848 5.382 6.702
Br 6.678 1.478 6.697
Br 5.279 5.549 8.602
Br 2.245 1.304 -0.002
Br 6.676 1.471 1.898
Br 5.207 5.263 4.297
Br 2.316 1.590 4.303
In 0.001 0.007 4.306
Tl 3.761 3.424 2.137
Tl 3.763 3.429 6.462
Hf 0.000 0.000 0.000
! Formation energy (no corrections) ... -1.014 eV per atom


! PBE-GGA K6Na3Pb, relaxed; values from VASP
&SYSTEM
  ibrav = 0, nat = 20, ntyp = 3
/
ATOMIC_SPECIES
K 39.10 K.upf
Na 22.99 Na.upf
Pb 207.20 Pb.upf
CELL_PARAMETERS angstrom
-1.035 0.307 7.698
-3.206 -10.962 0.006
11.424 -3.560 1.677
ATOMIC_POSITIONS angstrom
K -0.238 -1.847 3.192
K 7.003 -6.402 3.173
K 3.982 -3.434 4.047
K -0.308 -10.104 2.309
K 7.422 -12.369 6.189
K 3.202 -10.782 5.334
K 2.999 -5.015 7.678
K 4.185 -9.201 1.703
K -1.280 -3.410 7.264
K 0.181 -7.814 6.208
K 8.464 -10.806 2.117
K 7.492 -4.112 7.072
Na 5.999 -7.979 6.638
Na 5.712 -1.780 0.839
Na 5.393 -13.528 2.853
Na 1.185 -6.237 2.743
Na 1.791 -0.688 6.528
Na -2.120 -5.328 3.852
Pb 0.000 0.000 0.000
Pb 3.592 -7.108 4.690
! ΔH_f (0 K) ... -0.015 eV per atom


! PBE-GGA YbPrS3, relaxed; values from VASP
&SYSTEM
  ibrav = 0, nat = 10, ntyp = 3
/
ATOMIC_SPECIES
Pr 140.91 Pr.upf
Yb 173.04 Yb.upf
S 32.06 S.upf
CELL_PARAMETERS angstrom
1.969 -6.454 0.000
1.969 6.454 0.000
0.000 0.000 9.461
ATOMIC_POSITIONS angstrom
Pr 1.969 -3.193 7.096
Pr 1.969 3.193 2.365
Yb 0.000 0.000 0.000
Yb 0.000 0.000 4.730
S 1.969 -1.865 4.110
S 1.969 -5.267 2.365
S 1.969 5.267 7.096
S 1.969 -1.865 0.620
S 1.969 1.865 5.351
S 1.969 1.865 8.840
! Formation energy (no corrections) ... -1.829 eV per atom


! PBE-GGA LaHoCuPb, relaxed; values from VASP
&SYSTEM
  ibrav = 0, nat = 4, ntyp = 4
/
ATOMIC_SPECIES
Cu 63.55 Cu.upf
La 138.91 La.upf
Ho 164.93 Ho.upf
Pb 207.20 Pb.upf
CELL_PARAMETERS angstrom
-2.615 -2.997 3.560
2.710 -2.680 3.737
-0.261 1.538 5.105
ATOMIC_POSITIONS angstrom
Cu -0.041 -1.035 3.100
La -0.083 -2.070 6.201
Ho 0.000 0.000 0.000
Pb -0.124 -3.105 9.301
! ΔH_f (0 K) ... -0.299 eV per atom


! PBE-GGA La2PmIr, relaxed; values from VASP
&SYSTEM
  ibrav = 0, nat = 4, ntyp = 3
/
ATOMIC_SPECIES
Pm 145.00 Pm.upf
La 138.91 La.upf
Ir 192.22 Ir.upf
CELL_PARAMETERS angstrom
3.639 0.000 0.000
0.000 3.639 0.000
0.000 0.000 9.283
ATOMIC_POSITIONS angstrom
Pm 1.819 1.819 4.642
La 0.000 0.000 7.603
La 0.000 0.000 1.680
Ir 1.819 1.819 0.000
! ΔH_f (0 K) ... -0.277 eV per atom
! Polymorph energy (0 for the lowest one) ... 199.5 meV/atom


! PBE-GGA MnAsBr2, relaxed; values from VASP
&SYSTEM
  ibrav = 0, nat = 4, ntyp = 3
/
ATOMIC_SPECIES
As 74.92 As.upf
Mn 54.94 Mn.upf
Br 79.90 Br.upf
CELL_PARAMETERS angstrom
-4.699 0.127 1.645
-1.942 4.274 1.660
-3.505 2.339 -2.654
ATOMIC_POSITIONS angstrom
As -5.073 3.370 0.325
Mn 0.000 0.000 0.000
Br -2.536 1.685 0.163
Br -7.609 5.055 0.488
! Polymorph energy (0 for the lowest one) ... 686.8 meV/atom
! Formation energy (no corrections) ... 0.458 eV per atom


no.,VASP energy (eV per cell)
1,-25.99
2,-26.02
3,-40.07
4,-78.97
5,-23.06
6,-27.60
7,-33.62
8,-20.89
9,-23.28
10,-80.28
11,-66.63
12,-21.14
13,-52.89
14,-42.98
15,-28.80
16,-55.66
17,-18.50
18,-24.58
19,-15.33